Crystalline Ta4TcOs at its relaxed geometry, computed with PBE-GGA.

Results
Polymorph energy (0 for the lowest one), kJ per mole of atoms: 28.39

a = 7.503 Å, b = 7.503 Å, c = 7.503 Å
α = 90.00°, β = 90.00°, γ = 90.00°
Space group F-43m (No. 216)
Unique sites:
Ta: 0.125 0.125 0.125 (multiplicity 16)
Tc: 0.250 0.250 0.750 (multiplicity 4)
Os: 0.000 0.000 0.500 (multiplicity 4)


Crystalline Ta2TcOs2 at its relaxed geometry, computed with PBE-GGA.

a = 7.416 Å, b = 7.416 Å, c = 3.033 Å
α = 90.00°, β = 90.00°, γ = 90.00°
Space group P4/mbm (No. 127)
Unique sites:
Ta: 0.167 0.333 0.000 (multiplicity 4)
Tc: 0.000 0.000 0.500 (multiplicity 2)
Os: 0.134 0.634 0.500 (multiplicity 4)


no.,raw total energy (eV/atom),ΔE_f (eV/atom)
1,-11.016,0.485
2,-11.200,0.106